CaPm2Pr4Sm, optimized geometry, DFT GGA-PBE; space group = C2/c (15); density = 5.9 g cm⁻³; formation enthalpy at 0 K = 0.3539 eV/atom
1.0
7.071 -6.795 0.000
7.071 6.795 0.000
-3.452 0.000 6.076
Ca Pm Pr Sm
2 4 8 2
direct
0.000 0.000 0.000
0.000 0.000 0.500
0.000 0.500 0.000
0.500 0.000 0.500
0.500 0.500 0.000
0.500 0.500 0.500
0.233 0.729 0.481
0.261 0.262 0.512
0.262 0.261 0.012
0.271 0.767 0.019
0.729 0.233 0.981
0.738 0.739 0.988
0.739 0.738 0.488
0.767 0.271 0.519
0.000 0.500 0.500
0.500 0.000 0.000

---

CaPmPrSm, optimized geometry, DFT GGA-PBE; space group = F-43m (216); density = 5.5 g cm⁻³; formation enthalpy at 0 K = 0.1275 eV/atom; offset from the most stable computed form = 92 meV per atom
1.0
0.000 4.163 4.163
4.163 0.000 4.163
4.163 4.163 0.000
Ca Pm Pr Sm
1 1 1 1
direct
0.000 0.000 0.000
0.750 0.750 0.750
0.250 0.250 0.250
0.500 0.500 0.500

---

CaPm2Pr2Sm2, optimized geometry, DFT GGA-PBE; space group = C2/m (12); density = 6.1 g cm⁻³; formation enthalpy at 0 K = 0.0426 eV/atom
1.0
5.819 -2.608 0.000
5.819 2.608 0.000
-1.209 0.000 8.193
Ca Pm Pr Sm
1 2 2 2
direct
0.000 0.000 0.000
0.144 0.144 0.433
0.856 0.856 0.567
0.283 0.283 0.851
0.717 0.717 0.149
0.425 0.425 0.296
0.575 0.575 0.704

---

CaTb2PmPr6, optimized geometry, DFT GGA-PBE; space group = C2/c (15); density = 6.2 g cm⁻³; formation enthalpy at 0 K = 0.1257 eV/atom
1.0
4.661 -7.813 0.000
4.661 7.813 0.000
-1.460 0.000 9.880
Ca Tb Pm Pr
2 4 2 12
direct
0.097 0.903 0.750
0.903 0.097 0.250
0.203 0.301 0.956
0.301 0.203 0.456
0.699 0.797 0.544
0.797 0.699 0.044
0.473 0.527 0.250
0.527 0.473 0.750
0.004 0.791 0.378
0.068 0.526 0.177
0.209 0.996 0.122
0.262 0.613 0.552
0.387 0.738 0.948
0.474 0.932 0.323
0.526 0.068 0.677
0.613 0.262 0.052
0.738 0.387 0.448
0.791 0.004 0.878
0.932 0.474 0.823
0.996 0.209 0.622

---

CaTbPm4Pr2, optimized geometry, DFT GGA-PBE; space group = C2/c (15); density = 6.1 g cm⁻³; formation enthalpy at 0 K = 0.3732 eV/atom
1.0
7.007 -6.756 0.000
7.007 6.756 0.000
-3.424 0.000 6.054
Ca Tb Pm Pr
2 2 8 4
direct
0.000 0.000 0.000
0.000 0.000 0.500
0.000 0.500 0.000
0.500 0.000 0.500
0.233 0.733 0.985
0.259 0.264 0.032
0.264 0.259 0.532
0.267 0.767 0.515
0.733 0.233 0.485
0.736 0.741 0.468
0.741 0.736 0.968
0.767 0.267 0.015
0.000 0.500 0.500
0.500 0.000 0.000
0.500 0.500 0.000
0.500 0.500 0.500

---

CaTbPmPr, optimized geometry, DFT GGA-PBE; space group = F-43m (216); density = 5.7 g cm⁻³; formation enthalpy at 0 K = 0.1231 eV/atom; offset from the most stable computed form = 80 meV per atom
1.0
0.000 4.144 4.144
4.144 0.000 4.144
4.144 4.144 0.000
Ca Tb Pm Pr
1 1 1 1
direct
0.000 0.000 0.000
0.500 0.500 0.500
0.750 0.750 0.750
0.250 0.250 0.250